Compound: Zr4CuTc
Source: Alexandria via LeMat-Bulk
Functional: PBE
Structure: relaxed

Calculated values
ΔH_f (0 K): 0.68 eV per atom

Structure (POSCAR):
```
Zr4CuTc
1.0
3.617 1.295 4.047
-1.703 2.935 4.430
-0.401 -2.461 4.992
Zr Cu Tc
4 1 1
Cartesian
2.393 1.315 7.078 Zr
0.363 -0.583 7.556 Zr
-0.295 2.144 7.271 Zr
0.565 0.661 5.033 Zr
1.135 1.326 10.102 Cu
0.000 0.000 0.000 Tc
```